1 | This record from the Alexandria database describes crystalline Sc2TiOs at its relaxed geometry. The functional is PBE.

a b c (Å): 7.7241 7.7241 5.5146
angles (deg): 90.00 90.00 90.00
Space group I-42d (No. 122)
One atom of each set of equivalent atoms:
Sc  0.1977  0.2500  0.1250 [8 per cell]
Ti  0.0000  0.0000  0.5000 [4 per cell]
Os  0.0000  0.0000  0.0000 [4 per cell]



2 | This record from the Alexandria database describes crystalline Sc2TiOs at its relaxed geometry. The functional is PBE.

a b c (Å): 6.6147 6.6147 6.6147
angles (deg): 90.00 90.00 90.00
Space group Fm-3m (No. 225)
One atom of each set of equivalent atoms:
Sc  0.2500  0.2500  0.2500 [8 per cell]
Ti  0.0000  0.0000  0.0000 [4 per cell]
Os  0.0000  0.0000  0.5000 [4 per cell]



3 | This record from the Alexandria database describes crystalline Sc2TiOs at its relaxed geometry. The functional is PBE.

a b c (Å): 3.0114 3.0114 29.6986
angles (deg): 90.00 90.00 120.00
Space group R-3m (No. 166, hexagonal axes)
One atom of each set of equivalent atoms:
Sc  0.0000  0.0000  0.0969 [6 per cell]
Ti  0.0000  0.0000  0.0000 [3 per cell]
Os  0.0000  0.0000  0.5000 [3 per cell]



Which one is the most stable? From the structures above, 2.